# 1
# RbBe2Au2, optimized geometry, DFT PBE
data_RbBe2Au2
_chemical_formula_sum 'Rb2 Be4 Au4'
_symmetry_space_group_name_H-M 'I 4/m m m'
_symmetry_Int_Tables_number 139
_symmetry_space_group_name_Hall '-I 4 2'
_cell_length_a 4.553
_cell_length_b 4.553
_cell_length_c 12.474
_cell_angle_alpha 90.00
_cell_angle_beta 90.00
_cell_angle_gamma 90.00
loop_
_atom_site_label
_atom_site_type_symbol
_atom_site_fract_x
_atom_site_fract_y
_atom_site_fract_z
Rb1 Rb 0.000 0.000 0.000
Be1 Be 0.000 0.500 0.250
Au1 Au 0.000 0.000 0.280
# Formation energy, eV/atom: -0.0034

# 2
# IrBr2Cl, optimized geometry, DFT PBE
data_IrBr2Cl
_chemical_formula_sum 'Ir4 Br8 Cl4'
_symmetry_space_group_name_H-M 'F m -3 m'
_symmetry_Int_Tables_number 225
_symmetry_space_group_name_Hall '-F 4 2 3'
_cell_length_a 6.774
_cell_length_b 6.774
_cell_length_c 6.774
_cell_angle_alpha 90.00
_cell_angle_beta 90.00
_cell_angle_gamma 90.00
loop_
_atom_site_label
_atom_site_type_symbol
_atom_site_fract_x
_atom_site_fract_y
_atom_site_fract_z
Ir1 Ir 0.000 0.000 0.000
Br1 Br 0.250 0.250 0.250
Cl1 Cl 0.000 0.000 0.500
# Calculated total energy, eV per atom: -2.519

# 3
# NdGaAu3, optimized geometry, DFT PBE
data_NdGaAu3
_chemical_formula_sum 'Nd4 Ga4 Au12'
_symmetry_space_group_name_H-M 'P n m a'
_symmetry_Int_Tables_number 62
_symmetry_space_group_name_Hall '-P 2ac 2n'
_cell_length_a 9.127
_cell_length_b 4.945
_cell_length_c 9.255
_cell_angle_alpha 90.00
_cell_angle_beta 90.00
_cell_angle_gamma 90.00
loop_
_atom_site_label
_atom_site_type_symbol
_atom_site_fract_x
_atom_site_fract_y
_atom_site_fract_z
Nd1 Nd 0.237 0.250 0.003
Ga1 Ga 0.104 0.250 0.667
Au1 Au 0.078 0.250 0.387
Au2 Au 0.102 0.750 0.852
Au3 Au 0.111 0.750 0.164
# Formation energy, eV/atom: -0.6004

# 4
# TbHoZr, optimized geometry, DFT PBE
data_TbHoZr
_chemical_formula_sum 'Tb2 Ho2 Zr2'
_symmetry_space_group_name_H-M 'I 4 m m'
_symmetry_Int_Tables_number 107
_symmetry_space_group_name_Hall 'I 4 -2'
_cell_length_a 3.398
_cell_length_b 3.398
_cell_length_c 14.672
_cell_angle_alpha 90.00
_cell_angle_beta 90.00
_cell_angle_gamma 90.00
loop_
_atom_site_label
_atom_site_type_symbol
_atom_site_fract_x
_atom_site_fract_y
_atom_site_fract_z
Tb1 Tb 0.000 0.000 0.000
Ho1 Ho 0.000 0.000 0.687
Zr1 Zr 0.000 0.000 0.342
# Formation energy, eV/atom: 0.0779

# 5
# BeReOs2, optimized geometry, DFT PBE
data_BeReOs2
_chemical_formula_sum 'Be2 Re2 Os4'
_symmetry_space_group_name_H-M 'C m m m'
_symmetry_Int_Tables_number 65
_symmetry_space_group_name_Hall '-C 2 2'
_cell_length_a 2.847
_cell_length_b 4.572
_cell_length_c 8.313
_cell_angle_alpha 90.00
_cell_angle_beta 90.00
_cell_angle_gamma 90.00
loop_
_atom_site_label
_atom_site_type_symbol
_atom_site_fract_x
_atom_site_fract_y
_atom_site_fract_z
Be1 Be 0.000 0.000 0.000
Re1 Re 0.000 0.000 0.500
Os1 Os 0.000 0.500 0.227
# Formation energy, eV/atom: 0.3309

# 6
# SbCl, optimized geometry, DFT PBE
data_SbCl
_chemical_formula_sum 'Sb6 Cl6'
_symmetry_space_group_name_H-M 'R -3 m'
_symmetry_Int_Tables_number 166
_symmetry_space_group_name_Hall '-R 3 2"'
_cell_length_a 5.5400
_cell_length_b 5.5400
_cell_length_c 13.9238
_cell_angle_alpha 90.00
_cell_angle_beta 90.00
_cell_angle_gamma 120.00
loop_
_atom_site_label
_atom_site_type_symbol
_atom_site_fract_x
_atom_site_fract_y
_atom_site_fract_z
Sb1 Sb 0.0000 0.0000 0.1661
Cl1 Cl 0.0000 0.0000 0.3394
# Calculated total energy, eV per atom: -3.308

# 7
# Li2TaPb, optimized geometry, DFT PBE
data_Li2TaPb
_chemical_formula_sum 'Li4 Ta2 Pb2'
_symmetry_space_group_name_H-M 'C m m m'
_symmetry_Int_Tables_number 65
_symmetry_space_group_name_Hall '-C 2 2'
_cell_length_a 5.731
_cell_length_b 9.573
_cell_length_c 2.920
_cell_angle_alpha 90.00
_cell_angle_beta 90.00
_cell_angle_gamma 90.00
loop_
_atom_site_label
_atom_site_type_symbol
_atom_site_fract_x
_atom_site_fract_y
_atom_site_fract_z
Li1 Li 0.250 0.250 0.000
Ta1 Ta 0.000 0.000 0.500
Pb1 Pb 0.000 0.500 0.500
# Formation energy, eV/atom: 0.3920

# 8
# Ac3CeZn8, optimized geometry, DFT PBE
data_Ac3CeZn8
_chemical_formula_sum 'Ac3 Ce1 Zn8'
_symmetry_space_group_name_H-M 'P 3 m 1'
_symmetry_Int_Tables_number 156
_symmetry_space_group_name_Hall 'P 3 -2"'
_cell_length_a 5.8836
_cell_length_b 5.8836
_cell_length_c 8.9784
_cell_angle_alpha 90.00
_cell_angle_beta 90.00
_cell_angle_gamma 120.00
loop_
_atom_site_label
_atom_site_type_symbol
_atom_site_fract_x
_atom_site_fract_y
_atom_site_fract_z
Ac1 Ac 0.0000 0.0000 0.0000
Ac2 Ac 0.0000 0.0000 0.4008
Ac3 Ac 0.3333 0.6667 0.8741
Ce1 Ce 0.3333 0.6667 0.5023
Zn1 Zn 0.0016 0.5008 0.1995
Zn2 Zn 0.3557 0.1778 0.6931
Zn3 Zn 0.6667 0.3333 0.4417
Zn4 Zn 0.6667 0.3333 0.9555
# Formation energy, eV/atom: -0.2130

# 9
# YZn3Cu2, optimized geometry, DFT PBE
data_YZn3Cu2
_chemical_formula_sum 'Y4 Zn12 Cu8'
_symmetry_space_group_name_H-M 'C m c m'
_symmetry_Int_Tables_number 63
_symmetry_space_group_name_Hall '-C 2c 2'
_cell_length_a 9.445
_cell_length_b 8.239
_cell_length_c 5.121
_cell_angle_alpha 90.00
_cell_angle_beta 90.00
_cell_angle_gamma 90.00
loop_
_atom_site_label
_atom_site_type_symbol
_atom_site_fract_x
_atom_site_fract_y
_atom_site_fract_z
Y1 Y 0.000 0.160 0.250
Zn1 Zn 0.000 0.461 0.750
Zn2 Zn 0.176 0.229 0.750
Cu1 Cu 0.229 0.500 0.000
# Formation energy, eV/atom: -0.2356

# 10
# Pm2ErSb, optimized geometry, DFT PBE
data_Pm2ErSb
_chemical_formula_sum 'Pm6 Er3 Sb3'
_symmetry_space_group_name_H-M 'R -3 m'
_symmetry_Int_Tables_number 166
_symmetry_space_group_name_Hall '-R 3 2"'
_cell_length_a 3.5323
_cell_length_b 3.5323
_cell_length_c 36.4375
_cell_angle_alpha 90.00
_cell_angle_beta 90.00
_cell_angle_gamma 120.00
loop_
_atom_site_label
_atom_site_type_symbol
_atom_site_fract_x
_atom_site_fract_y
_atom_site_fract_z
Pm1 Pm 0.0000 0.0000 0.0864
Er1 Er 0.0000 0.0000 0.5000
Sb1 Sb 0.0000 0.0000 0.0000
# Calculated total energy, eV per atom: -4.531

# 11
# Hg2AsAu, optimized geometry, DFT PBE
data_Hg2AsAu
_chemical_formula_sum 'Hg4 As2 Au2'
_symmetry_space_group_name_H-M 'I m m 2'
_symmetry_Int_Tables_number 44
_symmetry_space_group_name_Hall 'I 2 -2'
_cell_length_a 2.873
_cell_length_b 5.284
_cell_length_c 12.005
_cell_angle_alpha 90.00
_cell_angle_beta 90.00
_cell_angle_gamma 90.00
loop_
_atom_site_label
_atom_site_type_symbol
_atom_site_fract_x
_atom_site_fract_y
_atom_site_fract_z
Hg1 Hg 0.000 0.000 0.000
Hg2 Hg 0.000 0.500 0.194
As1 As 0.000 0.000 0.426
Au1 Au 0.000 0.500 0.733
# Formation energy, eV/atom: 0.1736

# 12
# PmTaVN3, optimized geometry, DFT PBE
data_PmTaVN3
_chemical_formula_sum 'Pm2 Ta2 V2 N6'
_symmetry_space_group_name_H-M 'P 1 21/m 1'
_symmetry_Int_Tables_number 11
_symmetry_space_group_name_Hall '-P 2yb'
_cell_length_a 6.900
_cell_length_b 3.226
_cell_length_c 7.456
_cell_angle_alpha 90.00
_cell_angle_beta 104.71
_cell_angle_gamma 90.00
loop_
_atom_site_label
_atom_site_type_symbol
_atom_site_fract_x
_atom_site_fract_y
_atom_site_fract_z
Pm1 Pm 0.191 0.250 0.202
Ta1 Ta 0.356 0.750 0.865
V1 V 0.109 0.250 0.602
N1 N 0.126 0.250 0.864
N2 N 0.198 0.750 0.506
N3 N 0.443 0.750 0.161
# Calculated total energy, eV per atom: -9.491

Table of N(E_F) (states/eV/f.u.), in record order: 1.81 5.37 2.52 4.33 3.31 0.36 2.91 11.47 3.24 4.97 1.29 3.11
Table of total magnetization (μB per atom), in record order: 0.00 0.00 0.00 0.00 0.00 0.00 0.00 0.08 0.00 0.00 0.00 0.00